Computed, not measured: crystalline SrNpS2O8 at its relaxed geometry at the GGA-PBE level of DFT.

Computed properties:
For the total magnetization, the calculation gives 0.083 μB per atom. Its calculated total energy is -6.912 eV per atom. The formation energy without anion corrections comes out at -1968 kJ/mol of formula units. The calculation puts the calculated volume at 18.1 Å³ per atom. As for the density of states at the Fermi level: 0.39 states/eV/cell.

Cell and atoms, written as CIF:
```
data_SrNpS2O8
_chemical_formula_sum 'Sr1 Np1 S2 O8'
_symmetry_space_group_name_H-M 'P -3 m 1'
_symmetry_Int_Tables_number 164
_symmetry_space_group_name_Hall '-P 3 2"'
_cell_length_a 6.0576
_cell_length_b 6.0576
_cell_length_c 6.8384
_cell_angle_alpha 90.00
_cell_angle_beta 90.00
_cell_angle_gamma 120.00
loop_
_atom_site_label
_atom_site_fract_x
_atom_site_fract_y
_atom_site_fract_z
Sr1 0.0000 0.0000 0.0000
Np1 0.0000 0.0000 0.5000
S1 0.3333 0.6667 0.2754
O1 0.1538 0.3076 0.3067
O2 0.3333 0.6667 0.0618
```


Computed, not measured: crystalline SrNpSO2 at its relaxed geometry at the GGA-PBE level of DFT.

Computed properties:
For the total magnetization, the calculation gives 0.600 μB per atom. Its calculated total energy is -8.328 eV per atom. The formation energy without anion corrections comes out at -1252 kJ/mol of formula units. The calculation puts the calculated volume at 20.6 Å³ per atom. As for the density of states at the Fermi level: 7.44 states/eV/cell.

Cell and atoms, written as CIF:
```
data_SrNpSO2
_chemical_formula_sum 'Sr1 Np1 S1 O2'
_symmetry_space_group_name_H-M 'P 4 m m'
_symmetry_Int_Tables_number 99
_cell_length_a 4.253
_cell_length_b 4.253
_cell_length_c 5.706
_cell_angle_alpha 90.00
_cell_angle_beta 90.00
_cell_angle_gamma 90.00
loop_
_symmetry_equiv_pos_as_xyz
'x,y,z'
'-y,x,z'
'-x,-y,z'
'y,-x,z'
'-x,y,z'
'y,x,z'
'x,-y,z'
'-y,-x,z'
loop_
_atom_site_label
_atom_site_fract_x
_atom_site_fract_y
_atom_site_fract_z
Sr1 0.000 0.000 0.000
Np1 0.500 0.500 0.364
S1 0.500 0.500 0.849
O1 0.000 0.500 0.292
```


Computed, not measured: crystalline NpUSO2 at its relaxed geometry at the GGA-PBE level of DFT.

Computed properties:
For the total magnetization, the calculation gives 0.424 μB per atom. Its calculated total energy is -9.968 eV per atom. The formation energy without anion corrections comes out at -1116 kJ/mol of formula units. The calculation puts the calculated volume at 14.9 Å³ per atom. As for the density of states at the Fermi level: 11.68 states/eV/cell.

Cell and atoms, written as CIF:
```
data_NpUSO2
_chemical_formula_sum 'Np2 U2 S2 O4'
_symmetry_space_group_name_H-M 'I 4 m m'
_symmetry_Int_Tables_number 107
_symmetry_space_group_name_Hall 'I 4 -2'
_cell_length_a 3.761
_cell_length_b 3.761
_cell_length_c 10.543
_cell_angle_alpha 90.00
_cell_angle_beta 90.00
_cell_angle_gamma 90.00
loop_
_atom_site_label
_atom_site_fract_x
_atom_site_fract_y
_atom_site_fract_z
Np1 0.000 0.000 0.000
U1 0.000 0.000 0.763
S1 0.000 0.000 0.387
O1 0.000 0.500 0.138
```


Computed, not measured: crystalline NpUS2O at its relaxed geometry at the GGA-PBE level of DFT.

Computed properties:
For the total magnetization, the calculation gives 0.142 μB per atom. Its calculated total energy is -7.811 eV per atom. The formation energy without anion corrections comes out at -156 kJ/mol of formula units. The calculation puts the calculated volume at 17.8 Å³ per atom. As for the density of states at the Fermi level: 15.30 states/eV/cell.

Cell and atoms, written as CIF:
```
data_NpUS2O
_chemical_formula_sum 'Np2 U2 S4 O2'
_symmetry_space_group_name_H-M 'P 4/n m m'
_symmetry_Int_Tables_number 129
_cell_length_a 3.943
_cell_length_b 3.943
_cell_length_c 11.427
_cell_angle_alpha 90.00
_cell_angle_beta 90.00
_cell_angle_gamma 90.00
loop_
_symmetry_equiv_pos_as_xyz
'x,y,z'
'-x,-y,-z'
'-y+1/2,x,z'
'y+1/2,-x,-z'
'-x+1/2,-y+1/2,z'
'x+1/2,y+1/2,-z'
'y,-x+1/2,z'
'-y,x+1/2,-z'
'x+1/2,-y,-z'
'-x+1/2,y,z'
'-y,-x,-z'
'y,x,z'
'-x,y+1/2,-z'
'x,-y+1/2,z'
'y+1/2,x+1/2,-z'
'-y+1/2,-x+1/2,z'
loop_
_atom_site_label
_atom_site_fract_x
_atom_site_fract_y
_atom_site_fract_z
Np1 0.250 0.250 0.005
U1 0.250 0.250 0.797
S1 0.250 0.250 0.239
S2 0.250 0.250 0.541
O1 0.250 0.750 0.500
```


Computed, not measured: crystalline YNpS2O at its relaxed geometry at the GGA-PBE level of DFT.

Computed properties:
For the total magnetization, the calculation gives 0.742 μB per atom. Its calculated total energy is -8.764 eV per atom. The formation energy without anion corrections comes out at -1081 kJ/mol of formula units. The calculation puts the calculated volume at 20.3 Å³ per atom. As for the density of states at the Fermi level: 12.92 states/eV/cell.

Cell and atoms, written as CIF:
```
data_YNpS2O
_chemical_formula_sum 'Y2 Np2 S4 O2'
_symmetry_space_group_name_H-M 'P 4/n m m'
_symmetry_Int_Tables_number 129
_cell_length_a 3.855
_cell_length_b 3.855
_cell_length_c 13.677
_cell_angle_alpha 90.00
_cell_angle_beta 90.00
_cell_angle_gamma 90.00
loop_
_symmetry_equiv_pos_as_xyz
'x,y,z'
'-x,-y,-z'
'-y+1/2,x,z'
'y+1/2,-x,-z'
'-x+1/2,-y+1/2,z'
'x+1/2,y+1/2,-z'
'y,-x+1/2,z'
'-y,x+1/2,-z'
'x+1/2,-y,-z'
'-x+1/2,y,z'
'-y,-x,-z'
'y,x,z'
'-x,y+1/2,-z'
'x,-y+1/2,z'
'y+1/2,x+1/2,-z'
'-y+1/2,-x+1/2,z'
loop_
_atom_site_label
_atom_site_fract_x
_atom_site_fract_y
_atom_site_fract_z
Y1 0.250 0.250 0.119
Np1 0.250 0.250 0.592
S1 0.250 0.250 0.310
S2 0.250 0.250 0.906
O1 0.250 0.750 0.500
```


Computed, not measured: crystalline Np2SbO11 at its relaxed geometry at the GGA-PBE level of DFT.

Computed properties:
For the total magnetization, the calculation gives 0.072 μB per atom. Its calculated total energy is -7.584 eV per atom. The formation energy without anion corrections comes out at -2087 kJ/mol of formula units. The calculation puts the calculated volume at 15.0 Å³ per atom. As for the density of states at the Fermi level: 0.31 states/eV/cell.

Cell and atoms, written as CIF:
```
data_Np2SbO11
_chemical_formula_sum 'Np8 Sb4 O44'
_symmetry_space_group_name_H-M 'I b a m'
_symmetry_Int_Tables_number 72
_symmetry_space_group_name_Hall '-I 2 2c'
_cell_length_a 8.336
_cell_length_b 9.564
_cell_length_c 10.545
_cell_angle_alpha 90.00
_cell_angle_beta 90.00
_cell_angle_gamma 90.00
loop_
_atom_site_label
_atom_site_fract_x
_atom_site_fract_y
_atom_site_fract_z
Np1 0.179 0.231 0.000
Sb1 0.000 0.500 0.250
O1 0.000 0.000 0.000
O2 0.082 0.165 0.500
O3 0.097 0.370 0.131
O4 0.241 0.377 0.366
```


Computed, not measured: crystalline Np2SbO at its relaxed geometry at the GGA-PBE level of DFT.

Computed properties:
For the total magnetization, the calculation gives 2.427 μB per atom. Its calculated total energy is -9.470 eV per atom. The formation energy without anion corrections comes out at -282 kJ/mol of formula units. The calculation puts the calculated volume at 19.7 Å³ per atom. The value obtained for the energy relative to the lowest polymorph listed for this composition is 0.488 eV per atom. As for the density of states at the Fermi level: 9.10 states/eV/cell.

Cell and atoms, written as CIF:
```
data_Np2SbO
_chemical_formula_sum 'Np2 Sb1 O1'
_symmetry_space_group_name_H-M 'P 4/m m m'
_symmetry_Int_Tables_number 123
_symmetry_space_group_name_Hall '-P 4 2'
_cell_length_a 3.213
_cell_length_b 3.213
_cell_length_c 7.624
_cell_angle_alpha 90.00
_cell_angle_beta 90.00
_cell_angle_gamma 90.00
loop_
_atom_site_label
_atom_site_fract_x
_atom_site_fract_y
_atom_site_fract_z
Np1 0.000 0.000 0.199
Sb1 0.500 0.500 0.500
O1 0.500 0.500 0.000
```


Computed, not measured: crystalline Np4Sb3O2 at its relaxed geometry at the GGA-PBE level of DFT.

Computed properties:
For the total magnetization, the calculation gives 0.065 μB per atom. Its calculated total energy is -9.402 eV per atom. The formation energy without anion corrections comes out at -1020 kJ/mol of formula units. The calculation puts the calculated volume at 23.0 Å³ per atom. As for the density of states at the Fermi level: 62.92 states/eV/cell.

Cell and atoms, written as CIF:
```
data_Np4Sb3O2
_chemical_formula_sum 'Np8 Sb6 O4'
_symmetry_space_group_name_H-M 'C 1 2/m 1'
_symmetry_Int_Tables_number 12
_cell_length_a 13.374
_cell_length_b 3.979
_cell_length_c 8.932
_cell_angle_alpha 90.00
_cell_angle_beta 119.29
_cell_angle_gamma 90.00
loop_
_symmetry_equiv_pos_as_xyz
'x,y,z'
'-x,-y,-z'
'-x,y,-z'
'x,-y,z'
'x+1/2,y+1/2,z'
'-x+1/2,-y+1/2,-z'
'-x+1/2,y+1/2,-z'
'x+1/2,-y+1/2,z'
loop_
_atom_site_label
_atom_site_fract_x
_atom_site_fract_y
_atom_site_fract_z
Np1 0.118 0.000 0.409
Np2 0.198 0.500 0.114
Sb1 0.000 0.000 0.000
Sb2 0.100 0.500 0.699
O1 0.194 0.500 0.369
```


Computed, not measured: crystalline Np2SbO at its relaxed geometry at the GGA-PBE level of DFT.

Computed properties:
For the total magnetization, the calculation gives 0.000 μB per atom. Its calculated total energy is -9.379 eV per atom. The formation energy without anion corrections comes out at -247 kJ/mol of formula units. The calculation puts the calculated volume at 19.9 Å³ per atom. The value obtained for the energy relative to the lowest polymorph listed for this composition is 0.579 eV per atom. As for the density of states at the Fermi level: 18.92 states/eV/cell.

Cell and atoms, written as CIF:
```
data_Np2SbO
_chemical_formula_sum 'Np6 Sb3 O3'
_symmetry_space_group_name_H-M 'R -3 m'
_symmetry_Int_Tables_number 166
_symmetry_space_group_name_Hall '-R 3 2"'
_cell_length_a 4.1856
_cell_length_b 4.1856
_cell_length_c 15.7656
_cell_angle_alpha 90.00
_cell_angle_beta 90.00
_cell_angle_gamma 120.00
loop_
_atom_site_label
_atom_site_fract_x
_atom_site_fract_y
_atom_site_fract_z
Np1 0.0000 0.0000 0.1945
Sb1 0.0000 0.0000 0.0000
O1 0.0000 0.0000 0.5000
```


Computed, not measured: crystalline NpSbO at its relaxed geometry at the GGA-PBE level of DFT.

Computed properties:
For the total magnetization, the calculation gives 1.206 μB per atom. Its calculated total energy is -8.714 eV per atom. The formation energy without anion corrections comes out at -397 kJ/mol of formula units. The calculation puts the calculated volume at 20.1 Å³ per atom. The value obtained for the energy relative to the lowest polymorph listed for this composition is 0.133 eV per atom. As for the density of states at the Fermi level: 30.61 states/eV/cell.

Cell and atoms, written as CIF:
```
data_NpSbO
_chemical_formula_sum 'Np4 Sb4 O4'
_symmetry_space_group_name_H-M 'C 1 2/m 1'
_symmetry_Int_Tables_number 12
_cell_length_a 5.492
_cell_length_b 5.468
_cell_length_c 8.262
_cell_angle_alpha 90.00
_cell_angle_beta 103.97
_cell_angle_gamma 90.00
loop_
_symmetry_equiv_pos_as_xyz
'x,y,z'
'-x,-y,-z'
'-x,y,-z'
'x,-y,z'
'x+1/2,y+1/2,z'
'-x+1/2,-y+1/2,-z'
'-x+1/2,y+1/2,-z'
'x+1/2,-y+1/2,z'
loop_
_atom_site_label
_atom_site_fract_x
_atom_site_fract_y
_atom_site_fract_z
Np1 0.139 0.000 0.174
Sb1 0.209 0.500 0.400
O1 0.250 0.250 0.000
```